(1)
Material: YCdCu
Method: DFT, PBE
State: relaxed

Geometry as POSCAR:
```
YCdCu
1.0
3.870 0.000 0.000
0.000 7.566 0.000
0.000 0.000 13.098
Cu Y Cd
6 6 6
direct
0.500 0.946 0.909 Cu
0.000 0.449 0.750 Cu
0.500 0.054 0.091 Cu
0.500 0.054 0.409 Cu
0.500 0.946 0.591 Cu
0.000 0.551 0.250 Cu
0.000 0.151 0.250 Y
0.000 0.766 0.455 Y
0.000 0.849 0.750 Y
0.000 0.234 0.545 Y
0.000 0.234 0.955 Y
0.000 0.766 0.045 Y
0.500 0.430 0.118 Cd
0.500 0.196 0.750 Cd
0.500 0.570 0.882 Cd
0.500 0.430 0.382 Cd
0.500 0.570 0.618 Cd
0.500 0.804 0.250 Cd
```

ΔE_f in kJ per mole of atoms: -29.9
Space-group type: Pmma
Density of states at the Fermi level in states/eV/f.u.: 1.941
E_tot in eV/atom: -4.14

(2)
Material: Y2CdCu2
Method: DFT, PBE
State: relaxed

Geometry as POSCAR:
```
Y2CdCu2
1.0
3.792 0.000 0.000
0.000 7.516 0.000
0.000 0.000 7.516
Cu Cd Y
4 2 4
direct
0.000 0.881 0.381 Cu
0.000 0.381 0.119 Cu
0.000 0.619 0.881 Cu
0.000 0.119 0.619 Cu
0.000 0.500 0.500 Cd
0.000 0.000 0.000 Cd
0.500 0.325 0.825 Y
0.500 0.825 0.675 Y
0.500 0.175 0.325 Y
0.500 0.675 0.175 Y
```

ΔE_f in kJ per mole of atoms: -30.5
Space-group type: P4/mbm
Density of states at the Fermi level in states/eV/f.u.: 5.501
E_tot in eV/atom: -4.72

(3)
Material: YCd2Cu
Method: DFT, PBE
State: relaxed

Geometry as POSCAR:
```
YCd2Cu
1.0
4.175 0.000 0.000
0.000 3.489 0.003
0.000 1.758 6.104
Cd Y Cu
2 1 1
direct
0.500 0.437 0.247 Cd
0.000 0.052 0.018 Cd
0.500 0.710 0.706 Y
0.000 0.301 0.529 Cu
```

ΔE_f in kJ per mole of atoms: -13.6
Space-group type: Pm
Density of states at the Fermi level in states/eV/f.u.: 2.494
E_tot in eV/atom: -3.24

(4)
Material: Y4Cd3Cu
Method: DFT, PBE
State: relaxed

Geometry as POSCAR:
```
Y4Cd3Cu
1.0
-2.482 0.219 -2.659
0.049 -3.627 -0.345
-11.075 -1.122 10.243
Cd Y Cu
3 4 1
direct
0.500 0.500 0.500 Cd
0.500 0.500 0.758 Cd
0.500 0.500 0.242 Cd
0.000 0.000 0.890 Y
0.000 0.000 0.371 Y
0.000 0.000 0.110 Y
0.000 0.000 0.629 Y
0.500 0.500 0.000 Cu
```

ΔE_f in kJ per mole of atoms: -30.3
Space-group type: P4/mmm
Density of states at the Fermi level in states/eV/f.u.: 6.656
E_tot in eV/atom: -4.40

(5)
Material: Y2Cd2Cu
Method: DFT, PBE
State: relaxed

Geometry as POSCAR:
```
Y2Cd2Cu
1.0
-4.335 -4.245 -4.505
2.486 -6.231 3.479
-3.566 0.323 3.126
Cd Y Cu
4 4 2
direct
0.358 0.142 0.500 Cd
0.142 0.642 0.500 Cd
0.858 0.358 0.500 Cd
0.642 0.858 0.500 Cd
0.161 0.339 0.000 Y
0.339 0.839 0.000 Y
0.839 0.661 0.000 Y
0.661 0.161 0.000 Y
0.000 0.000 0.000 Cu
0.500 0.500 0.000 Cu
```

Energy above the most stable polymorph in this dataset in eV per atom: 0.179
ΔE_f in kJ per mole of atoms: 6.3
Space-group type: P4/mbm
Density of states at the Fermi level in states/eV/f.u.: 7.160
E_tot in eV/atom: -3.71

(6)
Material: YCd2Cu
Method: DFT, PBE
State: relaxed

Geometry as POSCAR:
```
YCd2Cu
1.0
-0.572 1.480 2.960
-3.273 -0.695 -0.285
1.101 -6.633 3.529
Cd Cu Y
2 1 1
direct
0.500 0.500 0.282 Cd
0.000 0.000 0.017 Cd
0.000 0.000 0.484 Cu
0.500 0.500 0.717 Y
```

ΔE_f in kJ per mole of atoms: -14.1
Space-group type: P4mm
Density of states at the Fermi level in states/eV/f.u.: 1.629
E_tot in eV/atom: -3.24

(7)
Material: Y2CdCu2
Method: DFT, PBE
State: relaxed

Geometry as POSCAR:
```
Y2CdCu2
1.0
3.494 0.000 0.000
0.000 3.494 0.000
1.747 1.747 9.101
Cu Y Cd
2 2 1
direct
0.250 0.750 0.500 Cu
0.750 0.250 0.500 Cu
0.618 0.618 0.763 Y
0.382 0.382 0.237 Y
0.000 0.000 0.000 Cd
```

ΔE_f in kJ per mole of atoms: -8.3
Space-group type: I4/mmm
Density of states at the Fermi level in states/eV/f.u.: 5.006
E_tot in eV/atom: -4.49

(8)
Material: Y2CdCu
Method: DFT, PBE
State: relaxed

Geometry as POSCAR:
```
Y2CdCu
1.0
5.070 0.000 0.000
2.535 4.391 0.000
2.535 1.464 4.140
Cu Y Cd
1 2 1
direct
0.750 0.750 0.750 Cu
0.250 0.250 0.250 Y
0.000 0.000 0.000 Y
0.500 0.500 0.500 Cd
```

ΔE_f in kJ per mole of atoms: 9.5
Space-group type: F-43m
Density of states at the Fermi level in states/eV/f.u.: 3.879
E_tot in eV/atom: -4.39